Record 1
CaZr2Al: optimized geometry, PBE-GGA.

abc: 5.695 5.695 3.100
angles: 90.00 90.00 111.90
Sites, in units of the cell vectors:
Zr  0.500  0.500  0.000
Al  0.500  0.000  0.500
Ca  0.000  0.500  0.500
Zr  0.000  0.000  0.000

Properties
total energy	-0.204	Ha/atom
crystal system	orthorhombic
symmetry	No. 65
calculated density	4.44	g/cm3



Record 2
CaZr2Al: optimized geometry, PBE-GGA.

abc: 6.350 6.350 5.218
angles: 65.95 65.95 30.23
Sites, in units of the cell vectors:
Zr  0.031  0.031  0.968
Al  0.750  0.750  0.750
Ca  0.250  0.250  0.250
Zr  0.469  0.469  0.532

Properties
total energy	-0.211	Ha/atom
crystal system	monoclinic
symmetry	No. 12
calculated density	4.31	g/cm3



Record 3
CaZr2Al: optimized geometry, PBE-GGA.

abc: 5.890 5.890 5.621
angles: 67.19 67.19 32.24
Sites, in units of the cell vectors:
Al  0.480  0.480  0.432
Zr  0.015  0.015  0.938
Zr  0.776  0.776  0.798
Ca  0.229  0.229  0.332

Properties
total energy	-0.208	Ha/atom
crystal system	monoclinic
symmetry	No. 8
calculated density	4.35	g/cm3



Record 4
Ca4ZrAl: optimized geometry, PBE-GGA.

abc: 6.483 6.483 6.483
angles: 60.00 60.00 60.00
Each line ends with the local moment (μB).
Sites, in units of the cell vectors:
Al  0.000  0.000  0.000  -0.01
Ca  0.375  0.375  0.375  0.14
Ca  0.375  0.874  0.375  0.14
Zr  0.750  0.750  0.750  1.41
Ca  0.874  0.375  0.375  0.14
Ca  0.375  0.375  0.874  0.14

Properties
total energy	-0.101	Ha/atom
crystal system	cubic
symmetry	No. 216
calculated density	2.40	g/cm3



Record 5
Ca2ZrAl: optimized geometry, PBE-GGA.

abc: 3.349 4.995 6.384
angles: 90.00 90.00 90.00
Sites, in units of the cell vectors:
Ca  0.000  0.000  0.507
Ca  0.000  0.000  0.993
Zr  0.500  0.500  0.250
Al  0.500  0.500  0.750

Properties
total energy	-0.144	Ha/atom
crystal system	orthorhombic
symmetry	No. 47
calculated density	3.08	g/cm3



Record 6
CaZr2Al: optimized geometry, PBE-GGA.

abc: 3.684 4.860 5.271
angles: 90.00 90.00 90.00
Sites, in units of the cell vectors:
Zr  0.500  0.500  0.000
Al  0.500  0.000  0.500
Ca  0.000  0.500  0.500
Zr  0.000  0.000  0.000

Properties
total energy	-0.205	Ha/atom
crystal system	orthorhombic
symmetry	No. 47
calculated density	4.39	g/cm3